No. 1
A plane-wave DFT calculation with PBEsol was carried out for a relaxed structure of KBaPb2.

Formation enthalpy at 0 K = -0.254 eV/atom
Energy relative to the lowest polymorph listed for this composition = 110 meV/atom

Unit cell a=8.3183 b=8.3183 c=8.3183 alpha=90.00 beta=90.00 gamma=90.00
Space group Fm-3m (No. 225)
Inequivalent atoms, fractional coordinates:
K 0.0000 0.0000 0.0000 (multiplicity 4)
Ba 0.0000 0.0000 0.5000 (multiplicity 4)
Pb 0.2500 0.2500 0.2500 (multiplicity 8)

No. 2
A plane-wave DFT calculation with PBEsol was carried out for a relaxed structure of La3Te.

Energy relative to the lowest polymorph listed for this composition = 116 meV/atom

Unit cell a=6.9207 b=9.1877 c=3.7660 alpha=90.00 beta=90.00 gamma=90.00
Space group Cmmm (No. 65)
Inequivalent atoms, fractional coordinates:
La 0.0000 0.0000 0.0000 (multiplicity 2)
La 0.2500 0.2500 0.5000 (multiplicity 4)
Te 0.0000 0.5000 0.0000 (multiplicity 2)

No. 3
A plane-wave DFT calculation with PBEsol was carried out for a relaxed structure of Li4Ti3Mn5O16.

Unit cell a=9.9030 b=5.7633 c=9.5534 alpha=90.00 beta=91.70 gamma=90.00
Space group Cm (No. 8)
Inequivalent atoms, fractional coordinates:
Li 0.0000 0.0000 0.0000 (multiplicity 2)
Li 0.0013 0.0000 0.4983 (multiplicity 2)
Li 0.1447 0.5000 0.5974 (multiplicity 2)
Li 0.3120 0.0000 0.1045 (multiplicity 2)
Ti 0.3174 0.5000 0.2828 (multiplicity 2)
Ti 0.3966 0.2491 0.7805 (multiplicity 4)
Mn 0.0698 0.2546 0.2823 (multiplicity 4)
Mn 0.1496 0.5000 0.0098 (multiplicity 2)
Mn 0.1543 0.0000 0.7810 (multiplicity 2)
Mn 0.3208 0.0000 0.5013 (multiplicity 2)
O 0.0718 0.2433 0.8914 (multiplicity 4)
O 0.1509 0.5000 0.3904 (multiplicity 2)
O 0.1538 0.0000 0.3870 (multiplicity 2)
O 0.2192 0.2765 0.1606 (multiplicity 4)
O 0.2374 0.2218 0.6597 (multiplicity 4)
O 0.3202 0.0000 0.8932 (multiplicity 2)
O 0.3277 0.5000 0.8942 (multiplicity 2)
O 0.4106 0.2584 0.3942 (multiplicity 4)
O 0.4630 0.0000 0.6573 (multiplicity 2)
O 0.4865 0.5000 0.1827 (multiplicity 2)
O 0.4859 0.5000 0.6816 (multiplicity 2)
O 0.4980 0.0000 0.1709 (multiplicity 2)

No. 4
A plane-wave DFT calculation with PBEsol was carried out for a relaxed structure of Ca2Al2Bi.

Formation enthalpy at 0 K = -0.309 eV/atom

Unit cell a=7.5564 b=7.5564 c=4.6551 alpha=90.00 beta=90.00 gamma=90.00
Space group P4/mbm (No. 127)
Inequivalent atoms, fractional coordinates:
Ca 0.1721 0.3279 0.0000 (multiplicity 4)
Al 0.1211 0.6211 0.5000 (multiplicity 4)
Bi 0.0000 0.0000 0.5000 (multiplicity 2)

No. 5
A plane-wave DFT calculation with PBEsol was carried out for a relaxed structure of LiCu2.

Formation enthalpy at 0 K = 0.055 eV/atom

Unit cell a=4.0408 b=4.0408 c=4.8785 alpha=90.00 beta=90.00 gamma=120.00
Space group P6_3/mmc (No. 194)
Inequivalent atoms, fractional coordinates:
Li 0.3333 0.6667 0.2500 (multiplicity 2)
Cu 0.0000 0.0000 0.0000 (multiplicity 2)
Cu 0.3333 0.6667 0.7500 (multiplicity 2)

No. 6
A plane-wave DFT calculation with PBEsol was carried out for a relaxed structure of LaCu2Ni.

Formation enthalpy at 0 K = 0.185 eV/atom

Unit cell a=5.0606 b=6.0438 c=8.8268 alpha=90.00 beta=90.00 gamma=90.00
Space group Fmmm (No. 69)
Inequivalent atoms, fractional coordinates:
La 0.0000 0.0000 0.0000 (multiplicity 4)
Cu 0.0000 0.2500 0.2500 (multiplicity 8)
Ni 0.0000 0.0000 0.5000 (multiplicity 4)

No. 7
A plane-wave DFT calculation with PBEsol was carried out for a relaxed structure of CsAgI2O.

Unit cell a=6.8080 b=6.8080 c=4.2265 alpha=90.00 beta=90.00 gamma=90.00
Space group P4/mmm (No. 123)
Inequivalent atoms, fractional coordinates:
Cs 0.0000 0.0000 0.0000 (multiplicity 1)
Ag 0.5000 0.5000 0.5000 (multiplicity 1)
I 0.0000 0.5000 0.0000 (multiplicity 2)
O 0.0000 0.0000 0.5000 (multiplicity 1)

No. 8
A plane-wave DFT calculation with PBEsol was carried out for a relaxed structure of NiRh2.

Formation enthalpy at 0 K = 0.057 eV/atom
Energy relative to the lowest polymorph listed for this composition = 23 meV/atom

Unit cell a=5.2278 b=3.6961 c=7.8082 alpha=90.00 beta=90.00 gamma=90.00
Space group Pnma (No. 62)
Inequivalent atoms, fractional coordinates:
Ni 0.1262 0.2500 0.0845 (multiplicity 4)
Rh 0.1179 0.2500 0.7522 (multiplicity 4)
Rh 0.1331 0.2500 0.4191 (multiplicity 4)

No. 9
A plane-wave DFT calculation with PBEsol was carried out for a relaxed structure of MgZn2Au.

Formation enthalpy at 0 K = -0.258 eV/atom

Unit cell a=4.1174 b=4.1174 c=7.4320 alpha=90.00 beta=90.00 gamma=90.00
Space group I-4m2 (No. 119)
Inequivalent atoms, fractional coordinates:
Mg 0.0000 0.0000 0.0000 (multiplicity 2)
Zn 0.0000 0.0000 0.5000 (multiplicity 2)
Zn 0.0000 0.5000 0.2500 (multiplicity 2)
Au 0.0000 0.5000 0.7500 (multiplicity 2)

No. 10
A plane-wave DFT calculation with PBEsol was carried out for a relaxed structure of Y2ScAl.

Formation enthalpy at 0 K = -0.158 eV/atom

Unit cell a=4.5212 b=4.5212 c=9.5111 alpha=90.00 beta=90.00 gamma=90.00
Space group I-4m2 (No. 119)
Inequivalent atoms, fractional coordinates:
Y 0.0000 0.0000 0.0000 (multiplicity 2)
Y 0.0000 0.5000 0.2500 (multiplicity 2)
Sc 0.0000 0.5000 0.7500 (multiplicity 2)
Al 0.0000 0.0000 0.5000 (multiplicity 2)

No. 11
A plane-wave DFT calculation with PBEsol was carried out for a relaxed structure of RbAs3Ru.

Formation enthalpy at 0 K = 2.592 eV/atom

Unit cell a=5.2522 b=5.2522 c=5.2522 alpha=90.00 beta=90.00 gamma=90.00
Space group Pm-3m (No. 221)
Inequivalent atoms, fractional coordinates:
Rb 0.0000 0.0000 0.0000 (multiplicity 1)
As 0.0000 0.0000 0.5000 (multiplicity 3)
Ru 0.5000 0.5000 0.5000 (multiplicity 1)

No. 12
A plane-wave DFT calculation with PBEsol was carried out for a relaxed structure of BeFeOs.

Formation enthalpy at 0 K = -0.124 eV/atom
Energy relative to the lowest polymorph listed for this composition = 0 meV/atom

Unit cell a=2.6979 b=2.6979 c=8.6290 alpha=90.00 beta=90.00 gamma=90.00
Space group I4mm (No. 107)
Inequivalent atoms, fractional coordinates:
Be 0.0000 0.0000 0.0000 (multiplicity 2)
Fe 0.0000 0.0000 0.6441 (multiplicity 2)
Os 0.0000 0.0000 0.3264 (multiplicity 2)

| no. | electronic total energy (eV per atom) | ρ (Mg/m³) |
| --- | --- | --- |
| 1 | -3.0744 | 6.82 |
| 2 | -5.5555 | 7.55 |
| 3 | -8.1147 | 4.28 |
| 4 | -3.6563 | 4.29 |
| 5 | -3.4902 | 6.45 |
| 6 | -4.8579 | 7.99 |
| 7 | -2.1698 | 4.33 |
| 8 | -7.4209 | 11.64 |
| 9 | -2.4589 | 9.28 |
| 10 | -6.2431 | 4.27 |
| 11 | -2.7117 | 4.71 |
| 12 | -8.5175 | 13.49 |